BeSbO2: relaxed, GGA-PBE.

abc: 4.7870 4.7870 5.3038
angles: 63.17 63.17 90.00
Atoms (fractional coordinates):
O1 0.3750 0.5099 0.7500
O2 0.8750 0.7401 0.7500
O3 0.4901 0.1250 0.2500
O4 0.2599 0.6250 0.2500
Sb1 0.7500 0.2500 0.5000
Sb2 0.0000 0.0000 0.0000
Be1 0.5000 0.5000 0.0000
Be2 0.2500 0.7500 0.5000

## Properties
Space group: I-42d
Distance to the lowest polymorph of the same formula: 0.0 meV/atom
Formation energy without anion corrections: -1.430 eV per atom
Crystal system: tetragonal
Uncorrected energy: -5.87 eV/atom
Magnetic moment: 0.0 μB/f.u.


BeSiSb2O: relaxed, GGA-PBE.

abc: 6.0709 2.8825 6.0709
angles: 90.00 90.00 90.00
Atoms (fractional coordinates):
Sb1 0.0000 0.0000 0.5000
Sb2 0.5000 0.0000 0.0000
Si1 0.5000 0.5000 0.5000
Be1 0.0000 0.5000 0.0000
O1 0.0000 0.0000 0.0000

## Properties
Space group: P4/mmm
Formation energy without anion corrections: -0.226 eV per atom
Crystal system: tetragonal
Uncorrected energy: -4.70 eV/atom
Magnetic moment: 0.0 μB/f.u.


SrBe4Sb3O12: relaxed, GGA-PBE.

abc: 6.4706 6.4706 6.4706
angles: 104.62 104.62 104.62
Atoms (fractional coordinates):
O1 0.2289 0.3725 0.9777
O2 0.3471 0.6529 0.5000
O3 0.9039 0.5000 0.0961
O4 0.7711 0.0223 0.6275
O5 0.0961 0.9039 0.5000
O6 0.5000 0.3471 0.6529
O7 0.6275 0.7711 0.0223
O8 0.5000 0.0961 0.9039
O9 0.0223 0.6275 0.7711
O10 0.6529 0.5000 0.3471
O11 0.3725 0.9777 0.2289
O12 0.9777 0.2289 0.3725
Be1 0.5000 0.9399 0.0601
Be2 0.5000 0.5000 0.5000
Be3 0.0601 0.5000 0.9399
Be4 0.9399 0.0601 0.5000
Sb1 0.5512 0.4488 0.0000
Sb2 0.4488 0.0000 0.5512
Sb3 0.0000 0.5512 0.4488
Sr1 0.0000 0.0000 0.0000

## Properties
Space group: R32
Formation energy without anion corrections: -2.017 eV per atom
Crystal system: trigonal
Uncorrected energy: -6.44 eV/atom
Magnetic moment: 0.0 μB/f.u.


Sr2BeSbO6: relaxed, GGA-PBE.

abc: 4.9838 5.5493 5.5493
angles: 120.00 90.00 90.00
Atoms (fractional coordinates):
O1 0.7667 0.1549 0.3097
O2 0.2333 0.8451 0.1549
O3 0.2333 0.8451 0.6903
O4 0.7667 0.1549 0.8451
O5 0.2333 0.3097 0.1549
O6 0.7667 0.6903 0.8451
Sr1 0.8339 0.6667 0.3333
Sr2 0.1661 0.3333 0.6667
Be1 0.0000 0.0000 0.0000
Sb1 0.5000 0.0000 0.0000

## Properties
Space group: P-3m1
Formation energy without anion corrections: -1.999 eV per atom
Crystal system: trigonal
Uncorrected energy: -6.10 eV/atom
Magnetic moment: 0.8 μB/f.u.


SrBeSbO5: relaxed, GGA-PBE.

abc: 5.7154 5.7154 7.3411
angles: 105.15 105.15 107.25
Atoms (fractional coordinates):
O1 0.2896 0.8886 0.6110
O2 0.7592 0.6070 0.3992
O3 0.6070 0.7592 0.8992
O4 0.8886 0.2896 0.1110
O5 0.0749 0.9251 0.2500
O6 0.3930 0.2408 0.1008
O7 0.1114 0.7104 0.8890
O8 0.9251 0.0749 0.7500
O9 0.2408 0.3930 0.6008
O10 0.7104 0.1114 0.3890
Sb1 0.0000 0.0000 0.5000
Sb2 0.0000 0.0000 0.0000
Sr1 0.3356 0.6644 0.2500
Sr2 0.6644 0.3356 0.7500
Be1 0.2987 0.7013 0.7500
Be2 0.7013 0.2987 0.2500

## Properties
Space group: C2/c
Formation energy without anion corrections: -1.950 eV per atom
Crystal system: monoclinic
Uncorrected energy: -6.24 eV/atom
Magnetic moment: 1.0 μB/f.u.


Ta2BeSbO: relaxed, GGA-PBE.

abc: 5.1210 4.1408 5.1210
angles: 90.00 90.00 90.00
Atoms (fractional coordinates):
Ta1 0.5000 0.0000 0.0000
Ta2 0.0000 0.0000 0.5000
O1 0.5000 0.5000 0.5000
Sb1 0.0000 0.0000 0.0000
Be1 0.0000 0.5000 0.0000

## Properties
Space group: P4/mmm
Formation energy without anion corrections: 2.038 eV per atom
Crystal system: tetragonal
Uncorrected energy: -5.26 eV/atom
Magnetic moment: 0.0 μB/f.u.


BeTcSbO6: relaxed, GGA-PBE.

abc: 4.8763 4.8763 8.8297
angles: 90.00 90.00 120.00
Atoms (fractional coordinates):
O1 0.3373 0.3531 0.8684
O2 0.6469 0.6627 0.6316
O3 0.6627 0.0158 0.3684
O4 0.3373 0.9842 0.6316
O5 0.6469 0.9842 0.8684
O6 0.3531 0.0158 0.1316
O7 0.9842 0.3373 0.1316
O8 0.0158 0.3531 0.6316
O9 0.3531 0.3373 0.3684
O10 0.6627 0.6469 0.1316
O11 0.0158 0.6627 0.8684
O12 0.9842 0.6469 0.3684
Sb1 0.0000 0.0000 0.0000
Sb2 0.0000 0.0000 0.5000
Be1 0.6667 0.3333 0.2500
Be2 0.3333 0.6667 0.7500
Tc1 0.3333 0.6667 0.2500
Tc2 0.6667 0.3333 0.7500

## Properties
Space group: P-31c
Formation energy without anion corrections: -1.458 eV per atom
Crystal system: trigonal
Uncorrected energy: -6.79 eV/atom
Magnetic moment: 1.8 μB/f.u.


BeSbTe2O: relaxed, GGA-PBE.

abc: 4.7746 4.7746 4.7827
angles: 90.00 90.00 90.00
Atoms (fractional coordinates):
Sb1 0.0000 0.0000 0.5000
Be1 0.5000 0.5000 0.5000
O1 0.0000 0.0000 0.0000
Te1 0.5000 0.0000 0.0000
Te2 0.0000 0.5000 0.0000

## Properties
Space group: P4/mmm
Distance to the lowest polymorph of the same formula: 0.0 meV/atom
Formation energy without anion corrections: 0.529 eV per atom
Crystal system: tetragonal
Uncorrected energy: -3.29 eV/atom
Magnetic moment: 0.0 μB/f.u.